# BaLaBe3 GGA-PBE relaxed
data_BaLaBe3
_chemical_formula_sum 'Ba1 La1 Be3'
_space_group_name_H-M_alt 'P m -3 m'
_space_group_IT_number 221
_space_group_name_Hall '-P 4 2 3'
_cell_length_a 5.3303
_cell_length_b 5.3303
_cell_length_c 5.3303
_cell_angle_alpha 90.00
_cell_angle_beta 90.00
_cell_angle_gamma 90.00
loop_
_atom_site_label
_atom_site_fract_x
_atom_site_fract_y
_atom_site_fract_z
Ba1 0.0000 0.0000 0.0000
La1 0.5000 0.5000 0.5000
Be1 0.0000 0.5000 0.5000
# * spin magnetization: 0.15 μB/atom
# * distance to the lowest polymorph of the same formula: 0.000 eV/f.u.
# * mass density: 3.325 g/cm³
# * D(E_F): 5.15 states/eV/cell